[1]
Crystalline PmNd2PuBi4 at its relaxed geometry, computed with GGA-PBE.

a = 7.938 Å, b = 4.589 Å, c = 7.940 Å
α = 90.00°, β = 109.44°, γ = 90.00°
Sites, in units of the cell vectors:
Pm: 0.000 0.000 0.000
Nd: 0.500 0.000 0.500
Nd: 0.500 0.500 0.000
Pu: 0.000 0.500 0.500
Bi: 0.245 0.000 0.747
Bi: 0.247 0.500 0.251
Bi: 0.753 0.500 0.749
Bi: 0.755 0.000 0.253

Properties
Mass density, g cm⁻³: 9.2

=====

[2]
Crystalline PmNd2ScBi4 at its relaxed geometry, computed with GGA-PBE.

a = 7.831 Å, b = 4.529 Å, c = 7.835 Å
α = 90.00°, β = 109.52°, γ = 90.00°
Sites, in units of the cell vectors:
Pm: 0.000 0.000 0.000
Nd: 0.500 0.000 0.500
Nd: 0.500 0.500 0.000
Sc: 0.000 0.500 0.500
Bi: 0.234 0.000 0.735
Bi: 0.241 0.500 0.256
Bi: 0.759 0.500 0.744
Bi: 0.766 0.000 0.265

Properties
Mass density, g cm⁻³: 8.3

=====

[3]
Crystalline Pm2NdScBi5 at its relaxed geometry, computed with GGA-PBE.

a = 5.682 Å, b = 5.682 Å, c = 11.421 Å
α = 90.00°, β = 90.00°, γ = 90.00°
Sites, in units of the cell vectors:
Pm: 0.000 0.000 0.199
Pm: 0.000 0.000 0.801
Nd: 0.500 0.500 0.000
Sc: 0.500 0.500 0.500
Bi: 0.000 0.000 0.500
Bi: 0.000 0.500 0.000
Bi: 0.500 0.000 0.000
Bi: 0.500 0.500 0.262
Bi: 0.500 0.500 0.738

Properties
Mass density, g cm⁻³: 6.9

=====

[4]
Crystalline Pm2NdScBi4 at its relaxed geometry, computed with GGA-PBE.

a = 7.819 Å, b = 4.521 Å, c = 7.823 Å
α = 90.00°, β = 109.51°, γ = 90.00°
Sites, in units of the cell vectors:
Pm: 0.000 0.000 0.000
Pm: 0.500 0.500 0.000
Nd: 0.000 0.500 0.500
Sc: 0.500 0.000 0.500
Bi: 0.258 0.000 0.744
Bi: 0.265 0.500 0.263
Bi: 0.735 0.500 0.737
Bi: 0.742 0.000 0.256

Properties
Mass density, g cm⁻³: 8.4

=====

[5]
Crystalline Pm3NdSm2Bi6 at its relaxed geometry, computed with GGA-PBE.

a = 10.231 Å, b = 10.231 Å, c = 9.152 Å
α = 102.88°, β = 102.88°, γ = 25.86°
Sites, in units of the cell vectors:
Pm: 0.000 0.000 0.000
Pm: 0.334 0.334 0.667
Pm: 0.666 0.666 0.333
Nd: 0.000 0.000 0.500
Sm: 0.333 0.333 0.167
Sm: 0.667 0.667 0.833
Bi: 0.167 0.167 0.082
Bi: 0.167 0.167 0.584
Bi: 0.499 0.499 0.248
Bi: 0.501 0.501 0.752
Bi: 0.833 0.833 0.416
Bi: 0.833 0.833 0.918

Properties
Mass density, g cm⁻³: 8.7

=====

[6]
Crystalline Pm2NdSmBi4 at its relaxed geometry, computed with GGA-PBE.

a = 7.934 Å, b = 4.583 Å, c = 7.935 Å
α = 90.00°, β = 109.47°, γ = 90.00°
Sites, in units of the cell vectors:
Pm: 0.000 0.000 0.000
Pm: 0.000 0.500 0.500
Nd: 0.500 0.000 0.500
Sm: 0.500 0.500 0.000
Bi: 0.249 0.500 0.248
Bi: 0.250 0.000 0.752
Bi: 0.750 0.000 0.248
Bi: 0.751 0.500 0.752

Properties
Mass density, g cm⁻³: 8.7

=====

[7]
Crystalline PmNd2SmBi4 at its relaxed geometry, computed with GGA-PBE.

a = 7.947 Å, b = 4.591 Å, c = 7.948 Å
α = 90.00°, β = 109.47°, γ = 90.00°
Sites, in units of the cell vectors:
Pm: 0.000 0.000 0.000
Nd: 0.500 0.000 0.500
Nd: 0.500 0.500 0.000
Sm: 0.000 0.500 0.500
Bi: 0.247 0.000 0.748
Bi: 0.248 0.500 0.250
Bi: 0.752 0.500 0.750
Bi: 0.753 0.000 0.252

Properties
Mass density, g cm⁻³: 8.6

=====

[8]
Crystalline PmNdSm2Bi4 at its relaxed geometry, computed with GGA-PBE.

a = 7.925 Å, b = 4.578 Å, c = 7.926 Å
α = 90.00°, β = 109.47°, γ = 90.00°
Sites, in units of the cell vectors:
Pm: 0.000 0.000 0.000
Nd: 0.000 0.500 0.500
Sm: 0.500 0.000 0.500
Sm: 0.500 0.500 0.000
Bi: 0.252 0.500 0.250
Bi: 0.253 0.000 0.752
Bi: 0.747 0.000 0.248
Bi: 0.748 0.500 0.750

Properties
Mass density, g cm⁻³: 8.7

=====

[9]
Crystalline PmNd2Sm3Bi6 at its relaxed geometry, computed with GGA-PBE.

a = 10.234 Å, b = 10.234 Å, c = 9.156 Å
α = 102.88°, β = 102.88°, γ = 25.86°
Sites, in units of the cell vectors:
Pm: 0.000 0.000 0.000
Nd: 0.334 0.334 0.667
Nd: 0.666 0.666 0.333
Sm: 0.000 0.000 0.500
Sm: 0.333 0.333 0.167
Sm: 0.667 0.667 0.833
Bi: 0.166 0.166 0.585
Bi: 0.167 0.167 0.081
Bi: 0.499 0.499 0.250
Bi: 0.501 0.501 0.750
Bi: 0.833 0.833 0.919
Bi: 0.834 0.834 0.415

Properties
Mass density, g cm⁻³: 8.7

=====

[10]
Crystalline PmNdSnBi at its relaxed geometry, computed with GGA-PBE.

a = 5.567 Å, b = 5.567 Å, c = 5.567 Å
α = 60.00°, β = 60.00°, γ = 60.00°
Sites, in units of the cell vectors:
Pm: 0.000 0.000 0.000
Nd: 0.500 0.500 0.500
Sn: 0.250 0.250 0.250
Bi: 0.750 0.750 0.750

Properties
Mass density, g cm⁻³: 8.4

=====

[11]
Crystalline TbPm2NdBi5 at its relaxed geometry, computed with GGA-PBE.

a = 5.563 Å, b = 5.563 Å, c = 11.981 Å
α = 90.00°, β = 90.00°, γ = 90.00°
Sites, in units of the cell vectors:
Tb: 0.000 0.000 0.000
Pm: 0.500 0.500 0.274
Pm: 0.500 0.500 0.726
Nd: 0.000 0.000 0.500
Bi: 0.000 0.000 0.243
Bi: 0.000 0.000 0.757
Bi: 0.000 0.500 0.500
Bi: 0.500 0.000 0.500
Bi: 0.500 0.500 0.000

Properties
Mass density, g cm⁻³: 7.3

=====

[12]
Crystalline Tb3Pm2NdBi6 at its relaxed geometry, computed with GGA-PBE.

a = 10.149 Å, b = 10.149 Å, c = 9.080 Å
α = 102.83°, β = 102.83°, γ = 25.86°
Sites, in units of the cell vectors:
Tb: 0.000 0.000 0.000
Tb: 0.334 0.334 0.667
Tb: 0.666 0.666 0.333
Pm: 0.333 0.333 0.167
Pm: 0.667 0.667 0.833
Nd: 0.000 0.000 0.500
Bi: 0.165 0.165 0.086
Bi: 0.169 0.169 0.580
Bi: 0.499 0.499 0.755
Bi: 0.501 0.501 0.245
Bi: 0.831 0.831 0.420
Bi: 0.835 0.835 0.914

Properties
Mass density, g cm⁻³: 9.1

=====

[13]
Crystalline Pm2NdThBi4 at its relaxed geometry, computed with GGA-PBE.

a = 7.942 Å, b = 4.598 Å, c = 7.949 Å
α = 90.00°, β = 109.49°, γ = 90.00°
Sites, in units of the cell vectors:
Pm: 0.000 0.000 0.000
Pm: 0.000 0.500 0.500
Nd: 0.500 0.000 0.500
Th: 0.500 0.500 0.000
Bi: 0.249 0.000 0.750
Bi: 0.249 0.500 0.249
Bi: 0.751 0.000 0.250
Bi: 0.751 0.500 0.751

Properties
Mass density, g cm⁻³: 9.1

=====

[14]
Crystalline Pm3NdTh2Bi6 at its relaxed geometry, computed with GGA-PBE.

a = 10.262 Å, b = 10.262 Å, c = 9.172 Å
α = 102.87°, β = 102.87°, γ = 25.88°
Sites, in units of the cell vectors:
Pm: 0.000 0.000 0.000
Pm: 0.334 0.334 0.666
Pm: 0.666 0.666 0.334
Nd: 0.000 0.000 0.500
Th: 0.335 0.335 0.169
Th: 0.665 0.665 0.831
Bi: 0.167 0.167 0.084
Bi: 0.167 0.167 0.583
Bi: 0.500 0.500 0.248
Bi: 0.500 0.500 0.752
Bi: 0.833 0.833 0.417
Bi: 0.833 0.833 0.916

Properties
Mass density, g cm⁻³: 9.3

=====

[15]
Crystalline Pm2NdThBi5 at its relaxed geometry, computed with GGA-PBE.

a = 5.723 Å, b = 5.723 Å, c = 12.105 Å
α = 90.00°, β = 90.00°, γ = 90.00°
Sites, in units of the cell vectors:
Pm: 0.000 0.000 0.228
Pm: 0.000 0.000 0.772
Nd: 0.500 0.500 0.500
Th: 0.500 0.500 0.000
Bi: 0.000 0.000 0.500
Bi: 0.000 0.500 0.000
Bi: 0.500 0.000 0.000
Bi: 0.500 0.500 0.255
Bi: 0.500 0.500 0.745

Properties
Mass density, g cm⁻³: 7.2

=====

[16]
Crystalline PmNd2ThBi4 at its relaxed geometry, computed with GGA-PBE.

a = 7.958 Å, b = 4.605 Å, c = 7.963 Å
α = 90.00°, β = 109.47°, γ = 90.00°
Sites, in units of the cell vectors:
Pm: 0.000 0.000 0.000
Nd: 0.000 0.500 0.500
Nd: 0.500 0.000 0.500
Th: 0.500 0.500 0.000
Bi: 0.249 0.500 0.248
Bi: 0.250 0.000 0.751
Bi: 0.750 0.000 0.249
Bi: 0.751 0.500 0.752

Properties
Mass density, g cm⁻³: 9.1

=====

[17]
Crystalline Pm2NdTh3Bi6 at its relaxed geometry, computed with GGA-PBE.

a = 10.275 Å, b = 10.275 Å, c = 9.172 Å
α = 102.86°, β = 102.86°, γ = 25.85°
Sites, in units of the cell vectors:
Pm: 0.167 0.167 0.333
Pm: 0.833 0.833 0.667
Nd: 0.500 0.500 0.000
Th: 0.166 0.166 0.833
Th: 0.500 0.500 0.500
Th: 0.834 0.834 0.167
Bi: 0.001 0.001 0.251
Bi: 0.333 0.333 0.418
Bi: 0.333 0.333 0.916
Bi: 0.667 0.667 0.084
Bi: 0.667 0.667 0.582
Bi: 0.999 0.999 0.749

Properties
Mass density, g cm⁻³: 9.6

=====

[18]
Crystalline PmNdTlBi at its relaxed geometry, computed with GGA-PBE.

a = 5.568 Å, b = 5.568 Å, c = 5.568 Å
α = 60.00°, β = 60.00°, γ = 60.00°
Sites, in units of the cell vectors:
Pm: 0.000 0.000 0.000
Nd: 0.500 0.500 0.500
Tl: 0.750 0.750 0.750
Bi: 0.250 0.250 0.250

Properties
Mass density, g cm⁻³: 9.6

=====

[19]
Crystalline PmNd2TmBi5 at its relaxed geometry, computed with GGA-PBE.

a = 5.375 Å, b = 5.375 Å, c = 12.082 Å
α = 90.00°, β = 90.00°, γ = 90.00°
Sites, in units of the cell vectors:
Pm: 0.000 0.000 0.000
Nd: 0.500 0.500 0.271
Nd: 0.500 0.500 0.729
Tm: 0.000 0.000 0.500
Bi: 0.000 0.000 0.249
Bi: 0.000 0.000 0.751
Bi: 0.000 0.500 0.500
Bi: 0.500 0.000 0.500
Bi: 0.500 0.500 0.000

Properties
Mass density, g cm⁻³: 7.8

=====

[20]
Crystalline Pm2NdTm3Bi6 at its relaxed geometry, computed with GGA-PBE.

a = 10.081 Å, b = 10.081 Å, c = 9.017 Å
α = 102.74°, β = 102.74°, γ = 25.88°
Sites, in units of the cell vectors:
Pm: 0.167 0.167 0.333
Pm: 0.833 0.833 0.667
Nd: 0.500 0.500 0.000
Tm: 0.166 0.166 0.833
Tm: 0.500 0.500 0.500
Tm: 0.834 0.834 0.167
Bi: 0.002 0.002 0.743
Bi: 0.330 0.330 0.922
Bi: 0.336 0.336 0.411
Bi: 0.664 0.664 0.589
Bi: 0.670 0.670 0.078
Bi: 0.998 0.998 0.257

Properties
Mass density, g cm⁻³: 9.4

=====

[21]
Crystalline Pm2NdTmBi5 at its relaxed geometry, computed with GGA-PBE.

a = 5.575 Å, b = 5.575 Å, c = 11.883 Å
α = 90.00°, β = 90.00°, γ = 90.00°
Sites, in units of the cell vectors:
Pm: 0.000 0.000 0.224
Pm: 0.000 0.000 0.776
Nd: 0.500 0.500 0.000
Tm: 0.500 0.500 0.500
Bi: 0.000 0.000 0.500
Bi: 0.000 0.500 0.000
Bi: 0.500 0.000 0.000
Bi: 0.500 0.500 0.258
Bi: 0.500 0.500 0.742

Properties
Mass density, g cm⁻³: 7.4

=====

[22]
Crystalline PmNd2Y3Bi6 at its relaxed geometry, computed with GGA-PBE.

a = 10.149 Å, b = 10.149 Å, c = 9.077 Å
α = 102.77°, β = 102.77°, γ = 25.87°
Sites, in units of the cell vectors:
Pm: 0.000 0.000 0.000
Nd: 0.334 0.334 0.667
Nd: 0.666 0.666 0.333
Y: 0.000 0.000 0.500
Y: 0.333 0.333 0.167
Y: 0.667 0.667 0.833
Bi: 0.165 0.165 0.588
Bi: 0.168 0.168 0.078
Bi: 0.498 0.498 0.253
Bi: 0.502 0.502 0.747
Bi: 0.832 0.832 0.922
Bi: 0.835 0.835 0.412

Properties
Mass density, g cm⁻³: 8.2

=====

[23]
Crystalline Pm2NdYBi5 at its relaxed geometry, computed with GGA-PBE.

a = 5.569 Å, b = 5.569 Å, c = 11.954 Å
α = 90.00°, β = 90.00°, γ = 90.00°
Sites, in units of the cell vectors:
Pm: 0.000 0.000 0.226
Pm: 0.000 0.000 0.774
Nd: 0.500 0.500 0.000
Y: 0.500 0.500 0.500
Bi: 0.000 0.000 0.500
Bi: 0.000 0.500 0.000
Bi: 0.500 0.000 0.000
Bi: 0.500 0.500 0.257
Bi: 0.500 0.500 0.743

Properties
Mass density, g cm⁻³: 7.0

=====

The records above give, respectively, ΔE_f values of -18.1 -19.7 1.1 -19.6 -21.6 -21.7 -21.7 -21.6 -21.6 -13.7 0.2 -21.0 -20.0 -19.1 1.4 -20.1 -17.6 -11.0 -4.0 -19.8 0.7 -21.2 0.1 kcal/mol of atoms.